VASP calculation (meta-GGA SCAN) on MgAl2Pt at its PBEsol-relaxed geometry.

Calculated density in g/cm3: 6.84
Size of the total moment in μB per formula unit: 0.0
Energy relative to the elements in eV per atom: -0.577
DOS(E_F) in states/eV/f.u.: 1.60
E in eV per atom: -23.245

Cell lengths 2.909, 2.909, 7.840 Å; angles 90.00, 90.00, 90.00 degrees
Space group P4/mmm (No. 123)
One atom of each set of equivalent atoms:
Mg (0.000, 0.000, 0.000) [1 per cell]
Al (0.500, 0.500, 0.286) [2 per cell]
Pt (0.000, 0.000, 0.500) [1 per cell]



VASP calculation (meta-GGA SCAN) on MgAlRe at its PBEsol-relaxed geometry.

Calculated density in g/cm3: 6.93
Size of the total moment in μB per formula unit: 1.4
Polymorph energy (0 for the lowest one) in meV per atom: 677
Energy relative to the elements in eV per atom: 0.712
DOS(E_F) in states/eV/f.u.: 2.36
E in eV per atom: -27.229

Cell lengths 6.106, 6.106, 6.106 Å; angles 90.00, 90.00, 90.00 degrees
Space group F-43m (No. 216)
One atom of each set of equivalent atoms:
Mg (0.000, 0.000, 0.000) [4 per cell]
Al (0.000, 0.000, 0.500) [4 per cell]
Re (0.250, 0.250, 0.750) [4 per cell]



VASP calculation (meta-GGA SCAN) on MgAlRe at its PBEsol-relaxed geometry.

Calculated density in g/cm3: 8.21
Size of the total moment in μB per formula unit: 0.0
Polymorph energy (0 for the lowest one) in meV per atom: 114
Energy relative to the elements in eV per atom: 0.149
DOS(E_F) in states/eV/f.u.: 2.11
E in eV per atom: -27.792

Cell lengths 2.8442, 2.8442, 6.8557 Å; angles 90.00, 90.00, 120.00 degrees
Space group P3m1 (No. 156)
One atom of each set of equivalent atoms:
Mg (0.0000, 0.0000, 0.0000) [1 per cell]
Al (0.6667, 0.3333, 0.3607) [1 per cell]
Re (0.3333, 0.6667, 0.6654) [1 per cell]



VASP calculation (meta-GGA SCAN) on MgAlRe at its PBEsol-relaxed geometry.

Calculated density in g/cm3: 8.29
Size of the total moment in μB per formula unit: 0.0
Polymorph energy (0 for the lowest one) in meV per atom: 42
Energy relative to the elements in eV per atom: 0.077
DOS(E_F) in states/eV/f.u.: 1.40
E in eV per atom: -27.864

Cell lengths 3.238, 4.410, 13.324 Å; angles 90.00, 90.00, 90.00 degrees
Space group Fmm2 (No. 42)
One atom of each set of equivalent atoms:
Mg (0.000, 0.000, 0.000) [4 per cell]
Al (0.000, 0.000, 0.682) [4 per cell]
Re (0.000, 0.000, 0.333) [4 per cell]



VASP calculation (meta-GGA SCAN) on MgAlRe at its PBEsol-relaxed geometry.

Calculated density in g/cm3: 8.53
Size of the total moment in μB per formula unit: 0.0
Polymorph energy (0 for the lowest one) in meV per atom: 0
Energy relative to the elements in eV per atom: 0.035
DOS(E_F) in states/eV/f.u.: 1.32
E in eV per atom: -27.906

Cell lengths 2.694, 4.119, 8.328 Å; angles 90.00, 90.00, 90.00 degrees
Space group Imm2 (No. 44)
One atom of each set of equivalent atoms:
Mg (0.000, 0.000, 0.000) [2 per cell]
Al (0.000, 0.000, 0.322) [2 per cell]
Re (0.000, 0.000, 0.671) [2 per cell]



VASP calculation (meta-GGA SCAN) on Mg2AlRe at its PBEsol-relaxed geometry.

Calculated density in g/cm3: 6.26
Size of the total moment in μB per formula unit: 0.5
Energy relative to the elements in eV per atom: 0.166
DOS(E_F) in states/eV/f.u.: 2.30
E in eV per atom: -22.033

Cell lengths 2.818, 2.818, 8.754 Å; angles 90.00, 90.00, 90.00 degrees
Space group P4mm (No. 99)
One atom of each set of equivalent atoms:
Mg (0.000, 0.000, 0.000) [1 per cell]
Mg (0.500, 0.500, 0.296) [1 per cell]
Al (0.500, 0.500, 0.738) [1 per cell]
Re (0.000, 0.000, 0.532) [1 per cell]



VASP calculation (meta-GGA SCAN) on MgAl2Re at its PBEsol-relaxed geometry.

Calculated density in g/cm3: 6.19
Size of the total moment in μB per formula unit: 0.0
Energy relative to the elements in eV per atom: 0.512
DOS(E_F) in states/eV/f.u.: 2.19
E in eV per atom: -22.381

Cell lengths 7.209, 7.209, 5.460 Å; angles 90.00, 90.00, 90.00 degrees
Space group I-42d (No. 122)
One atom of each set of equivalent atoms:
Mg (0.000, 0.000, 0.000) [4 per cell]
Al (0.218, 0.250, 0.625) [8 per cell]
Re (0.000, 0.000, 0.500) [4 per cell]



VASP calculation (meta-GGA SCAN) on MgAlRe2Sb at its PBEsol-relaxed geometry.

Calculated density in g/cm3: 8.92
Size of the total moment in μB per formula unit: 2.8
ΔE_f (raw) in eV per atom: 2.249
DOS(E_F) in states/eV/f.u.: 4.35
E in eV per atom: -36.187

Cell lengths 4.626, 4.626, 4.745 Å; angles 90.00, 90.00, 90.00 degrees
Space group P4/mmm (No. 123)
One atom of each set of equivalent atoms:
Mg (0.000, 0.000, 0.000) [1 per cell]
Al (0.500, 0.500, 0.500) [1 per cell]
Re (0.000, 0.500, 0.000) [2 per cell]
Sb (0.000, 0.000, 0.500) [1 per cell]